No. 1
VASP calculation (PBE) on crystalline Zn15Ni at its relaxed geometry.

abc: 5.4108 5.4108 9.1318
angles: 90.00 90.00 120.00
Space group P-6m2 (No. 187)
One atom of each set of equivalent atoms:
1 Zn 0.0000 0.0000 0.0000 (multiplicity 1)
2 Zn 0.0041 0.5021 0.5000 (multiplicity 3)
3 Zn 0.3287 0.1643 0.2603 (multiplicity 6)
4 Zn 0.3333 0.6667 0.2447 (multiplicity 2)
5 Zn 0.5019 0.0038 0.0000 (multiplicity 3)
6 Ni 0.0000 0.0000 0.5000 (multiplicity 1)

## Properties
For the energy of formation, the calculation gives -0.05 eV per atom. The density of states at the Fermi level comes out at 0.0897 states/eV per atom. The value obtained for the total energy is -1.605 eV/atom.

No. 2
VASP calculation (PBE) on crystalline ZnNi at its relaxed geometry.

abc: 2.709 2.709 3.299
angles: 90.00 90.00 90.00
Space group P4/mmm (No. 123)
One atom of each set of equivalent atoms:
1 Zn 0.000 0.000 0.000 (multiplicity 1)
2 Ni 0.500 0.500 0.500 (multiplicity 1)

## Properties
For the energy of formation, the calculation gives -0.25 eV per atom. The density of states at the Fermi level comes out at 0.3216 states/eV per atom. The value obtained for the total energy is -3.775 eV/atom.

No. 3
VASP calculation (PBE) on crystalline Zn5Ni3 at its relaxed geometry.

abc: 3.741 3.741 14.495
angles: 90.00 90.00 90.00
Space group I4/mmm (No. 139)
One atom of each set of equivalent atoms:
1 Zn 0.000 0.000 0.000 (multiplicity 2)
2 Zn 0.000 0.500 0.132 (multiplicity 8)
3 Ni 0.000 0.000 0.252 (multiplicity 4)
4 Ni 0.000 0.000 0.500 (multiplicity 2)

## Properties
As for the energy above the most stable polymorph in this dataset: 0.000 eV per atom. For the energy of formation, the calculation gives -0.19 eV per atom. The density of states at the Fermi level comes out at 0.3782 states/eV per atom. The value obtained for the total energy is -3.159 eV/atom.

No. 4
VASP calculation (PBE) on crystalline ZnNi4 at its relaxed geometry.

abc: 2.5343 2.5343 30.5605
angles: 90.00 90.00 120.00
Space group R-3m (No. 166, hexagonal axes)
One atom of each set of equivalent atoms:
1 Zn 0.0000 0.0000 0.0000 (multiplicity 3)
2 Ni 0.0000 0.0000 0.1995 (multiplicity 6)
3 Ni 0.0000 0.0000 0.4014 (multiplicity 6)

## Properties
As for the energy above the most stable polymorph in this dataset: 0.046 eV per atom. For the energy of formation, the calculation gives -0.04 eV per atom. The density of states at the Fermi level comes out at 1.2958 states/eV per atom. The value obtained for the total energy is -4.922 eV/atom.

No. 5
VASP calculation (PBE) on crystalline ZnNi at its relaxed geometry.

abc: 4.539 4.181 5.136
angles: 90.00 90.00 90.00
Space group Pnma (No. 62)
One atom of each set of equivalent atoms:
1 Zn 0.097 0.250 0.125 (multiplicity 4)
2 Ni 0.084 0.250 0.625 (multiplicity 4)

## Properties
For the energy of formation, the calculation gives -0.18 eV per atom. The density of states at the Fermi level comes out at 0.6900 states/eV per atom. The value obtained for the total energy is -3.706 eV/atom.

No. 6
VASP calculation (PBE) on crystalline ZnNi at its relaxed geometry.

abc: 4.181 7.412 13.622
angles: 90.00 90.00 90.00
Space group Fddd (No. 70, origin choice 2)
One atom of each set of equivalent atoms:
1 Zn 0.125 0.290 0.125 (multiplicity 16)
2 Ni 0.125 0.125 0.541 (multiplicity 16)

## Properties
For the energy of formation, the calculation gives 0.00 eV per atom. The density of states at the Fermi level comes out at 0.9718 states/eV per atom. The value obtained for the total energy is -3.532 eV/atom.

- The lowest energy of formation belongs to which entry?
  number 2